(1)
# AlCdGa3

A relaxed AlCdGa3 crystal (PBE, Alexandria via LeMat-Bulk). Values from VASP.

Geometry as Quantum ESPRESSO input:
```
&SYSTEM
  ibrav = 0, nat = 10, ntyp = 3
/
ATOMIC_SPECIES
Al 26.98 Al.upf
Cd 112.41 Cd.upf
Ga 69.72 Ga.upf
CELL_PARAMETERS angstrom
-2.967 0.864 -2.933
4.576 -0.798 -4.867
-1.507 -6.510 -0.394
ATOMIC_POSITIONS angstrom
Al -2.247 -4.362 -3.656
Al 2.348 -2.083 -4.539
Cd 0.516 -5.766 -3.770
Cd -0.415 -0.678 -4.424
Ga -2.558 -1.666 -2.546
Ga 2.660 -4.779 -5.649
Ga -0.174 -0.222 -1.437
Ga -0.073 -3.395 -5.570
Ga 0.175 -3.049 -2.624
Ga 0.276 -6.223 -6.757
```

Properties
The calculation puts the total energy at -13.4 eV per formula unit. Its total magnetization is 0.00 μB/f.u. The formation energy comes out at 0.058 eV per atom. The energy above the lowest structure with this stoichiometry is 0 meV/atom. Its crystal system is monoclinic.


(2)
# AlCd2Ga4

A relaxed AlCd2Ga4 crystal (PBE, Alexandria via LeMat-Bulk). Values from VASP.

Geometry as Quantum ESPRESSO input:
```
&SYSTEM
  ibrav = 0, nat = 7, ntyp = 3
/
ATOMIC_SPECIES
Al 26.98 Al.upf
Ga 69.72 Ga.upf
Cd 112.41 Cd.upf
CELL_PARAMETERS angstrom
3.194 0.000 0.301
1.583 2.774 0.301
0.134 0.078 15.702
ATOMIC_POSITIONS angstrom
Al 0.000 0.000 0.000
Ga 1.916 1.113 13.882
Ga 0.525 0.305 11.544
Ga 2.994 1.739 2.421
Ga 4.385 2.547 4.759
Cd 0.981 0.570 6.695
Cd 3.929 2.282 9.608
```

Properties
The calculation puts the total energy at -17.3 eV per formula unit. Its total magnetization is 0.00 μB/f.u. The formation energy comes out at 0.059 eV per atom. Its crystal system is trigonal.


(3)
# Al2CdGa

A relaxed Al2CdGa crystal (PBE, Alexandria via LeMat-Bulk). Values from VASP.

Geometry as Quantum ESPRESSO input:
```
&SYSTEM
  ibrav = 0, nat = 4, ntyp = 3
/
ATOMIC_SPECIES
Al 26.98 Al.upf
Cd 112.41 Cd.upf
Ga 69.72 Ga.upf
CELL_PARAMETERS angstrom
-0.196 0.711 -4.096
-0.207 -3.195 -2.659
-5.726 -0.705 -1.963
ATOMIC_POSITIONS angstrom
Al -4.602 -0.730 -2.021
Al -1.239 -0.804 -2.195
Cd -3.121 -1.594 -4.356
Ga -5.957 -2.362 -6.469
```

Properties
The calculation puts the total energy at -10.7 eV per formula unit. Its total magnetization is 0.00 μB/f.u. The formation energy comes out at 0.181 eV per atom. Its crystal system is trigonal.


(4)
# AlCdGa

A relaxed AlCdGa crystal (PBE, Alexandria via LeMat-Bulk). Values from VASP.

Geometry as Quantum ESPRESSO input:
```
&SYSTEM
  ibrav = 0, nat = 3, ntyp = 3
/
ATOMIC_SPECIES
Al 26.98 Al.upf
Ga 69.72 Ga.upf
Cd 112.41 Cd.upf
CELL_PARAMETERS angstrom
2.899 0.001 0.000
0.001 3.103 -0.022
-0.004 -1.509 6.635
ATOMIC_POSITIONS angstrom
Al 1.113 -0.574 5.504
Ga 2.556 0.964 3.557
Cd 2.577 2.504 1.059
```

Properties
The calculation puts the total energy at -7.4 eV per formula unit. Its total magnetization is 0.00 μB/f.u. The formation energy comes out at 0.083 eV per atom. The energy above the lowest structure with this stoichiometry is 28 meV/atom. Its crystal system is monoclinic.


(5)
# AlCdGa

A relaxed AlCdGa crystal (PBE, Alexandria via LeMat-Bulk). Values from VASP.

Geometry as Quantum ESPRESSO input:
```
&SYSTEM
  ibrav = 0, nat = 6, ntyp = 3
/
ATOMIC_SPECIES
Al 26.98 Al.upf
Ga 69.72 Ga.upf
Cd 112.41 Cd.upf
CELL_PARAMETERS angstrom
-1.534 3.463 2.910
1.473 -4.165 1.814
5.692 2.186 0.398
ATOMIC_POSITIONS angstrom
Al 1.894 -1.076 2.279
Al 3.738 2.560 2.843
Ga 4.740 0.017 2.478
Ga 0.892 1.467 2.644
Cd 0.000 0.000 0.000
Cd 2.846 1.093 0.199
```

Properties
The calculation puts the total energy at -7.2 eV per formula unit. Its total magnetization is 0.00 μB/f.u. The formation energy comes out at 0.148 eV per atom. The energy above the lowest structure with this stoichiometry is 93 meV/atom. Its crystal system is hexagonal.


(6)
# Al2Cd2Ga

A relaxed Al2Cd2Ga crystal (PBE, Alexandria via LeMat-Bulk). Values from VASP.

Geometry as Quantum ESPRESSO input:
```
&SYSTEM
  ibrav = 0, nat = 10, ntyp = 3
/
ATOMIC_SPECIES
Al 26.98 Al.upf
Ga 69.72 Ga.upf
Cd 112.41 Cd.upf
CELL_PARAMETERS angstrom
-0.521 0.578 8.443
-4.842 -6.958 0.178
2.400 -1.664 0.262
ATOMIC_POSITIONS angstrom
Al -4.485 -5.934 3.406
Al -3.440 -3.768 7.580
Al -0.878 -0.445 5.214
Al -1.923 -2.611 1.041
Ga 0.000 0.000 0.000
Ga -2.682 -3.190 4.310
Cd -2.197 -5.472 1.789
Cd -3.116 -6.128 6.035
Cd -0.766 -2.571 7.093
Cd 0.153 -1.915 2.848
```

Properties
The calculation puts the total energy at -11.4 eV per formula unit. Its total magnetization is 0.00 μB/f.u. The formation energy comes out at 0.188 eV per atom. The energy above the lowest structure with this stoichiometry is 0 meV/atom. Its crystal system is tetragonal.